Entry from the Alexandria database: a geometry-optimized CeTiV2O6 structure (GGA+U).

a b c (Å): 5.3676 5.3676 14.5062
angles (deg): 90.00 90.00 120.00
Space group R3 (No. 146, hexagonal axes)
Inequivalent atoms, fractional coordinates:
Ce (0.0000, 0.0000, 0.0000) [3 per cell]
Ti (0.0000, 0.0000, 0.4893) [3 per cell]
V (0.0000, 0.0000, 0.2857) [3 per cell]
V (0.0000, 0.0000, 0.7895) [3 per cell]
O (0.0015, 0.3487, 0.2117) [9 per cell]
O (0.0311, 0.7328, 0.3876) [9 per cell]

Properties
As for the calculated volume: 12.065 Å³ per atom. Its theoretical density is 5.31 g cm⁻³. The calculation puts the raw total energy at -8.46 eV per atom. The value obtained for the size of the total moment is 18.03 μB/cell.